(1)
Density functional theory data (PBE-GGA) for Tl2Pb3 after structural relaxation.

Calculated values
- E (eV/atom) = -3.1744
- relative energy among the computed polymorphs (eV per atom) = 0.000
- Fermi-level density of states (states/eV per atom) = 0.480
- E_form (eV/atom) = 0.00
- crystal system = trigonal

a b c (Å): 14.1735 14.1735 14.1735
angles (deg): 14.57 14.57 14.57
With the nearest neighbours (Å) after each atom.
Fractional coordinates of all 5 atoms:
Tl 0.2001 0.2001 0.2001  9 Tl 3.50-3.60, 3 Pb 3.50
Tl 0.7999 0.7999 0.7999  9 Tl 3.50-3.60, 3 Pb 3.50
Pb 0.0000 0.0000 0.0000  12 Pb 3.48-3.60
Pb 0.3997 0.3997 0.3997  9 Pb 3.48-3.60, 3 Tl 3.50
Pb 0.6003 0.6003 0.6003  9 Pb 3.48-3.60, 3 Tl 3.50

---

(2)
Density functional theory data (PBE-GGA) for LiThHg4 after structural relaxation.

Calculated values
- E (eV/atom) = -1.9451
- relative energy among the computed polymorphs (eV per atom) = 0.027
- Fermi-level density of states (states/eV per atom) = 0.495
- E_form (eV/atom) = -0.19
- crystal system = monoclinic

a b c (Å): 4.6901 8.0301 8.0759
angles (deg): 90.00 106.68 90.00
With the nearest neighbours (Å) after each atom.
Fractional coordinates of all 12 atoms:
Li 0.1368 0.2500 0.2727  6 Hg 2.91-2.95
Li 0.8632 0.7500 0.7273  6 Hg 2.91-2.95
Th 0.1696 0.7500 0.3394  10 Hg 3.14-3.37
Th 0.8304 0.2500 0.6606  10 Hg 3.14-3.37
Hg 0.0000 0.0000 0.0000  2 Li 2.91, 4 Hg 3.09-3.10
Hg 0.0000 0.5000 0.0000  2 Li 2.91, 4 Hg 3.09-3.10
Hg 0.3389 0.5326 0.6775  2 Li 2.95, 3 Th 3.14-3.27, 2 Hg 3.22
Hg 0.3389 0.9674 0.6775  2 Li 2.95, 3 Th 3.14-3.27, 2 Hg 3.22
Hg 0.4857 0.2500 0.9720  8 Hg 3.09-3.22, 2 Li 3.29-3.31, 2 Th 3.36-3.37
Hg 0.5143 0.7500 0.0280  8 Hg 3.09-3.22, 2 Li 3.29-3.31, 2 Th 3.36-3.37
Hg 0.6611 0.0326 0.3225  2 Li 2.95, 3 Th 3.14-3.27, 2 Hg 3.22
Hg 0.6611 0.4674 0.3225  2 Li 2.95, 3 Th 3.14-3.27, 2 Hg 3.22

---

(3)
Density functional theory data (PBE-GGA) for Sm2Ho2AlGa4 after structural relaxation.

Calculated values
- E (eV/atom) = -4.0551
- Fermi-level density of states (states/eV per atom) = 0.674
- E_form (eV/atom) = -0.23
- crystal system = tetragonal

a b c (Å): 6.6734 6.6734 6.6734
angles (deg): 116.62 116.62 95.97
With the nearest neighbours (Å) after each atom.
Fractional coordinates of all 9 atoms:
Sm 0.1892 0.1892 0.0000  1 Al 2.78, 4 Ga 3.01
Sm 0.8108 0.8108 0.0000  1 Al 2.78, 4 Ga 3.01
Ho 0.2500 0.7500 0.5000  8 Ga 3.34, 4 Sm 3.55
Ho 0.7500 0.2500 0.5000  8 Ga 3.34, 4 Sm 3.55
Al 0.5000 0.5000 0.0000  4 Ga 2.46
Ga 0.2517 0.2517 0.5034  1 Al 2.46
Ga 0.2517 0.7483 0.0000  1 Al 2.46
Ga 0.7483 0.2517 0.0000  1 Al 2.46
Ga 0.7483 0.7483 0.4966  1 Al 2.46

---

(4)
Density functional theory data (PBE-GGA) for CeNp2U3N6 after structural relaxation.

Calculated values
- E (eV/atom) = -10.9203
- formation energy without anion corrections (meV per atom) = -1284
- Fermi-level density of states (states/eV per atom) = 1.849
- crystal system = monoclinic

a b c (Å): 7.7214 7.7214 6.9016
angles (deg): 102.37 102.37 25.96
With the nearest neighbours (Å) after each atom.
Fractional coordinates of all 12 atoms:
Ce 0.0000 0.0000 0.0000  6 N 2.53-2.54
Np 0.3323 0.3323 0.6660  6 N 2.47-2.50
Np 0.6677 0.6677 0.3340  6 N 2.47-2.50
U 0.0000 0.0000 0.5000  6 N 2.36-2.41
U 0.3333 0.3333 0.1676  6 N 2.37-2.42
U 0.6667 0.6667 0.8324  6 N 2.37-2.42
N 0.1641 0.1641 0.5863  3 U 2.41-2.42, 3 Np 2.47
N 0.1721 0.1721 0.0789  3 U 2.37-2.42, 2 Np 2.48, 1 Ce 2.53
N 0.4979 0.4979 0.2674  3 U 2.36-2.42, 1 Np 2.50, 2 Ce 2.54
N 0.5021 0.5021 0.7326  3 U 2.36-2.42, 1 Np 2.50, 2 Ce 2.54
N 0.8279 0.8279 0.9211  3 U 2.37-2.42, 2 Np 2.48, 1 Ce 2.53
N 0.8359 0.8359 0.4137  3 U 2.41-2.42, 3 Np 2.47

---

(5)
Density functional theory data (PBE-GGA) for Cs3AlOs after structural relaxation.

Calculated values
- E (eV/atom) = -2.0701
- relative energy among the computed polymorphs (eV per atom) = 0.000
- Fermi-level density of states (states/eV per atom) = 2.008
- E_form (eV/atom) = 1.44
- crystal system = cubic

a b c (Å): 6.1223 6.1223 6.1223
angles (deg): 90.00 90.00 90.00
With the nearest neighbours (Å) after each atom.
Fractional coordinates of all 5 atoms:
Cs 0.0000 0.0000 0.5000  2 Os 3.06
Cs 0.0000 0.5000 0.0000  2 Os 3.06
Cs 0.5000 0.0000 0.0000  2 Os 3.06
Al 0.5000 0.5000 0.5000  12 Cs 4.33
Os 0.0000 0.0000 0.0000  6 Cs 3.06

---

(6)
Density functional theory data (PBE-GGA) for HoTi6 after structural relaxation.

Calculated values
- E (eV/atom) = -6.0234
- Fermi-level density of states (states/eV per atom) = 1.734
- E_form (eV/atom) = 1.40
- crystal system = cubic

a b c (Å): 5.9934 5.9934 5.9934
angles (deg): 109.47 109.47 109.47
With the nearest neighbours (Å) after each atom.
Fractional coordinates of all 7 atoms:
Ho 0.0000 0.0000 0.0000  24 Ti 3.87
Ti 0.2500 0.5000 0.7500  4 Ti 2.45
Ti 0.2500 0.7500 0.5000  4 Ti 2.45
Ti 0.5000 0.2500 0.7500  4 Ti 2.45
Ti 0.5000 0.7500 0.2500  4 Ti 2.45
Ti 0.7500 0.2500 0.5000  4 Ti 2.45
Ti 0.7500 0.5000 0.2500  4 Ti 2.45

---

(7)
Density functional theory data (PBE-GGA) for La2ZrMo after structural relaxation.

Calculated values
- E (eV/atom) = -6.8129
- relative energy among the computed polymorphs (eV per atom) = 0.298
- Fermi-level density of states (states/eV per atom) = 1.407
- E_form (eV/atom) = 0.50
- crystal system = monoclinic

a b c (Å): 3.2947 5.1341 6.0827
angles (deg): 90.00 102.29 90.00
With the nearest neighbours (Å) after each atom.
Fractional coordinates of all 4 atoms:
La 0.1100 0.0000 0.2626  2 Mo 3.09, 5 La 3.12-3.43, 4 Zr 3.42-3.44
La 0.8900 0.0000 0.7374  2 Mo 3.09, 5 La 3.12-3.43, 4 Zr 3.42-3.44
Zr 0.5000 0.5000 0.0000  2 Mo 3.04, 2 Zr 3.29
Mo 0.5000 0.5000 0.5000  2 Zr 3.04, 4 La 3.09, 2 Mo 3.29

---

(8)
Density functional theory data (PBE-GGA) for Pr2TmAl2Pd5 after structural relaxation.

Calculated values
- E (eV/atom) = -5.5602
- Fermi-level density of states (states/eV per atom) = 0.668
- E_form (eV/atom) = -0.81
- crystal system = tetragonal

a b c (Å): 10.3990 10.3990 3.7227
angles (deg): 90.00 90.00 90.00
With the nearest neighbours (Å) after each atom.
Fractional coordinates of all 20 atoms:
Pr 0.1784 0.3216 0.0000  3 Al 2.99-3.15, 10 Pd 3.22-3.32
Pr 0.3216 0.8216 0.0000  3 Al 2.99-3.15, 10 Pd 3.22-3.32
Pr 0.6784 0.1784 0.0000  3 Al 2.99-3.15, 10 Pd 3.22-3.32
Pr 0.8216 0.6784 0.0000  3 Al 2.99-3.15, 10 Pd 3.22-3.32
Tm 0.0000 0.0000 0.0000  8 Pd 3.00
Tm 0.5000 0.5000 0.0000  8 Pd 3.00
Al 0.1181 0.6181 0.0000  6 Pd 2.55-2.60
Al 0.3819 0.1181 0.0000  6 Pd 2.55-2.60
Al 0.6181 0.8819 0.0000  6 Pd 2.55-2.60
Al 0.8819 0.3819 0.0000  6 Pd 2.55-2.60
Pd 0.0000 0.5000 0.5000  4 Al 2.55
Pd 0.0640 0.7834 0.5000  2 Al 2.60
Pd 0.2166 0.0640 0.5000  2 Al 2.60
Pd 0.2834 0.5640 0.5000  2 Al 2.60
Pd 0.4360 0.2834 0.5000  2 Al 2.60
Pd 0.5000 0.0000 0.5000  4 Al 2.55
Pd 0.5640 0.7166 0.5000  2 Al 2.60
Pd 0.7166 0.4360 0.5000  2 Al 2.60
Pd 0.7834 0.9360 0.5000  2 Al 2.60
Pd 0.9360 0.2166 0.5000  2 Al 2.60